A relaxed structure of RbTb. Source: the Open Quantum Materials Database, functional PBE.

abc: 3.6365 3.6365 7.0212
angles: 90.00 90.00 90.00
Space group P4/mmm (No. 123)
Unique sites:
Rb (0.0000, 0.0000, 0.0000)
Tb (0.5000, 0.5000, 0.5000)

Calculated values
Total moment (μB/atom): 0.17
Energy (eV per atom): -1.9088